## Pr2Ho2In (GGA-PBE)

Data for a relaxed Pr2Ho2In crystal.

Lattice parameters (Å, degrees): 4.4131 4.4131 17.4597 90.00 90.00 90.00
Last column: nearest neighbours and their distance in Å.
Space group I4/mmm (No. 139)
Inequivalent atoms, fractional coordinates:
1 Pr 0.0000 0.5000 0.2500 [4 per cell]  4 Pr 3.12
2 Ho 0.0000 0.0000 0.0864 [4 per cell]  1 Ho 3.02
3 In 0.0000 0.0000 0.5000 [2 per cell]  8 Ho 3.47

Summary:
The calculation puts the energy above the most stable polymorph in this dataset at 384.6 meV/atom. Its formation energy is 0.3366 eV/atom. The theoretical density is 7.096 g cm⁻³. For the raw total energy, the calculation gives -19.8 eV per formula unit.

=====

## TbNd4HoTm2 (GGA-PBE)

Data for a relaxed TbNd4HoTm2 crystal.

Lattice parameters (Å, degrees): 5.1150 5.1380 10.0063 90.00 90.00 90.00
Last column: nearest neighbours and their distance in Å.
Space group Pmmm (No. 47)
Inequivalent atoms, fractional coordinates:
1 Tb 0.0000 0.0000 0.0000 [1 per cell]  8 Nd 3.58-3.59, 4 Tm 3.62
2 Nd 0.0000 0.5000 0.2505 [2 per cell]  2 Ho 3.57, 4 Tm 3.58, 2 Tb 3.59, 4 Nd 3.62
3 Nd 0.5000 0.0000 0.2510 [2 per cell]  4 Tm 3.57-3.59, 2 Ho 3.58, 2 Tb 3.58, 4 Nd 3.62
4 Ho 0.5000 0.5000 0.5000 [1 per cell]  8 Nd 3.57-3.58, 4 Tm 3.62
5 Tm 0.0000 0.0000 0.5000 [1 per cell]  8 Nd 3.57-3.58, 4 Ho 3.62
6 Tm 0.5000 0.5000 0.0000 [1 per cell]  8 Nd 3.58-3.59, 4 Tb 3.62

Summary:
Its formation energy is 0.0165 eV/atom. The theoretical density is 7.822 g cm⁻³. For the raw total energy, the calculation gives -37.1 eV per formula unit.

=====

## Cd4TeW (GGA-PBE)

Data for a relaxed Cd4TeW crystal.

Lattice parameters (Å, degrees): 8.0186 8.0186 8.0186 90.00 90.00 90.00
Last column: nearest neighbours and their distance in Å.
Space group F-43m (No. 216)
Inequivalent atoms, fractional coordinates:
1 Cd 0.1239 0.1239 0.3761 [16 per cell]  6 Cd 2.81-2.86
2 Te 0.0000 0.0000 0.0000 [4 per cell]  12 Cd 3.33, 4 W 3.47
3 W 0.2500 0.2500 0.7500 [4 per cell]  12 Cd 3.32, 4 Te 3.47

Summary:
The theoretical density is 9.805 g cm⁻³. For the raw total energy, the calculation gives -15.1 eV per formula unit.

=====

## Li2TiMn2 (GGA-PBE)

Data for a relaxed Li2TiMn2 crystal.

Lattice parameters (Å, degrees): 6.2850 6.2850 3.0190 90.00 90.00 90.00
Last column: nearest neighbours and their distance in Å.
Space group P4/mbm (No. 127)
Inequivalent atoms, fractional coordinates:
1 Li 0.1104 0.3896 0.0000 [4 per cell]  1 Li 1.96
2 Ti 0.0000 0.0000 0.0000 [2 per cell]  4 Li 2.55, 8 Mn 2.74
3 Mn 0.1911 0.6911 0.5000 [4 per cell]  6 Li 2.32-2.48

Summary:
The calculation puts the energy above the most stable polymorph in this dataset at 23.5 meV/atom. Its formation energy is 0.6840 eV/atom. The theoretical density is 4.780 g cm⁻³. For the raw total energy, the calculation gives -26.6 eV per formula unit.

=====

## Er4Zn5Cu2 (GGA-PBE)

Data for a relaxed Er4Zn5Cu2 crystal.

Lattice parameters (Å, degrees): 6.9343 3.5814 8.9951 90.00 93.53 90.00
Last column: nearest neighbours and their distance in Å.
Space group P2/m (No. 10)
Inequivalent atoms, fractional coordinates:
1 Er 0.1751 0.0000 0.3716 [2 per cell]  2 Cu 2.85, 8 Zn 3.05-3.14
2 Er 0.2545 0.0000 0.9396 [2 per cell]  4 Cu 2.88-2.89, 6 Zn 3.10-3.17
3 Zn 0.1964 0.5000 0.6577 [2 per cell]  2 Zn 2.61-2.75, 1 Cu 2.66
4 Zn 0.4401 0.5000 0.2012 [2 per cell]  1 Cu 2.65, 2 Zn 2.69-2.75
5 Zn 0.5000 0.5000 0.5000 [1 per cell]  4 Zn 2.61-2.69
6 Cu 0.0619 0.5000 0.1350 [2 per cell]  1 Cu 2.53, 2 Zn 2.65-2.66

Summary:
Its formation energy is -0.2736 eV/atom. The theoretical density is 8.365 g cm⁻³. For the raw total energy, the calculation gives -35.8 eV per formula unit.

=====

## La2AlPt2 (GGA-PBE)

Data for a relaxed La2AlPt2 crystal.

Lattice parameters (Å, degrees): 4.4259 5.7658 9.0906 90.00 90.00 90.00
Last column: nearest neighbours and their distance in Å.
Space group Immm (No. 71)
Inequivalent atoms, fractional coordinates:
1 La 0.0000 0.0000 0.1997 [4 per cell]  6 Pt 3.10-3.19, 2 Al 3.41
2 Al 0.0000 0.5000 0.0000 [2 per cell]  4 Pt 2.66
3 Pt 0.0000 0.2557 0.5000 [4 per cell]  2 Al 2.66, 2 Pt 2.82-2.95

Summary:
Its formation energy is -1.0590 eV/atom. The theoretical density is 9.949 g cm⁻³. For the raw total energy, the calculation gives -31.0 eV per formula unit.

=====

Q: theoretical density of number 2 (TbNd4HoTm2)?
A: 7.822 g cm⁻³